Density functional theory data (PBE-GGA) for LiCu4Te5 after structural relaxation.

E: -35.0 eV per cell
D(E_F): 5.355 states/eV per cell
raw formation energy: -2.40 kcal/mol of atoms
V: 21.31 Å³/atom

Unit cell a=6.7822 b=6.7822 c=6.7822 alpha=99.73 beta=99.73 gamma=131.46
Atoms (fractional coordinates):
Li 0.0000 0.0000 0.0000
Cu 0.1962 0.5992 0.8010
Cu 0.3951 0.1962 0.5970
Cu 0.5992 0.7982 0.4030
Cu 0.7982 0.3951 0.1990
Te 0.1110 0.3108 0.4275
Te 0.3108 0.8834 0.1999
Te 0.4995 0.4995 0.0000
Te 0.6835 0.1110 0.8001
Te 0.8834 0.6835 0.5725